No. 1
Entry from Alexandria via LeMat-Bulk: DyScAu4 after structural relaxation (PBE).

a = 3.6539 Å, b = 3.6539 Å, c = 8.9921 Å
α = 90.00°, β = 90.00°, γ = 90.00°
With the nearest neighbours (Å) after each atom.
Positions (direct):
Dy 0.0000 0.0000 0.0000  10 Au 3.01-3.07
Sc 0.5000 0.5000 0.5000  10 Au 2.95
Au 0.0000 0.0000 0.3419  5 Au 2.84-3.00, 4 Sc 2.95, 1 Dy 3.07
Au 0.0000 0.0000 0.6581  5 Au 2.84-3.00, 4 Sc 2.95, 1 Dy 3.07
Au 0.5000 0.5000 0.1723  1 Sc 2.95, 5 Au 3.00-3.10, 4 Dy 3.01
Au 0.5000 0.5000 0.8277  1 Sc 2.95, 5 Au 3.00-3.10, 4 Dy 3.01

Results
- SG = No. 123
- polymorph energy (0 for the lowest one) (eV/f.u.) = 0.02
- crystal system = tetragonal
- calculated formation energy (eV per atom) = -0.8260



No. 2
Entry from Alexandria via LeMat-Bulk: LiRhW2 after structural relaxation (PBE).

a = 5.2318 Å, b = 5.2318 Å, c = 5.2318 Å
α = 146.35°, β = 131.46°, γ = 60.36°
With the nearest neighbours (Å) after each atom.
Positions (direct):
Li 0.0000 0.0000 0.0000  4 Rh 2.63, 4 W 2.76
Rh 0.5000 0.5000 0.0000  4 Li 2.63, 4 W 2.68
W 0.2557 0.7557 0.5000  4 W 2.63, 2 Rh 2.68, 2 Li 2.76
W 0.7443 0.2443 0.5000  4 W 2.63, 2 Rh 2.68, 2 Li 2.76

Results
- SG = No. 71
- polymorph energy (0 for the lowest one) (eV/f.u.) = 0.00
- crystal system = orthorhombic
- calculated formation energy (eV per atom) = 0.1250



No. 3
Entry from Alexandria via LeMat-Bulk: Tl2BAsS4 after structural relaxation (PBE).

a = 8.2614 Å, b = 8.9592 Å, c = 5.7278 Å
α = 90.00°, β = 90.00°, γ = 90.00°
With the nearest neighbours (Å) after each atom.
Positions (direct):
Tl 0.2360 0.1606 0.0000  4 S 2.99-3.21
Tl 0.2640 0.8394 0.5000  4 S 2.99-3.21
Tl 0.7360 0.8394 0.5000  4 S 2.99-3.21
Tl 0.7640 0.1606 0.0000  4 S 2.99-3.21
B 0.0000 0.3985 0.4452  4 S 1.90-1.99
B 0.5000 0.6015 0.9452  4 S 1.90-1.99
As 0.0000 0.6440 0.9620  2 S 2.25-2.33
As 0.5000 0.3560 0.4620  2 S 2.25-2.33
S 0.0000 0.4085 0.0986  1 B 1.99
S 0.0000 0.6064 0.5599  1 B 1.97
S 0.1876 0.2858 0.5211  1 B 1.90
S 0.3124 0.7142 0.0211  1 B 1.90
S 0.5000 0.3936 0.0599  1 B 1.97
S 0.5000 0.5915 0.5986  1 B 1.99
S 0.6876 0.7142 0.0211  1 B 1.90
S 0.8124 0.2858 0.5211  1 B 1.90

Results
- SG = No. 31
- formation energy from raw total energies (meV/atom) = -232
- crystal system = orthorhombic



No. 4
Entry from Alexandria via LeMat-Bulk: HoSi3Tc5 after structural relaxation (PBE).

a = 6.4637 Å, b = 6.4637 Å, c = 11.3213 Å
α = 90.00°, β = 90.00°, γ = 141.60°
With the nearest neighbours (Å) after each atom.
Positions (direct):
Ho 0.1504 0.8496 0.7500  6 Si 2.98-3.22
Ho 0.8496 0.1504 0.2500  6 Si 2.98-3.22
Si 0.1511 0.8489 0.2500  6 Tc 2.49-2.53
Si 0.4050 0.5950 0.0754  5 Tc 2.42-2.57
Si 0.4050 0.5950 0.4246  5 Tc 2.42-2.57
Si 0.5950 0.4050 0.5754  5 Tc 2.42-2.57
Si 0.5950 0.4050 0.9246  5 Tc 2.42-2.57
Si 0.8489 0.1511 0.7500  6 Tc 2.49-2.53
Tc 0.0000 0.0000 0.0000  2 Tc 2.57, 4 Si 2.57
Tc 0.0000 0.0000 0.5000  2 Tc 2.57, 4 Si 2.57
Tc 0.2071 0.7929 0.0389  2 Si 2.45-2.49, 3 Tc 2.53-2.57
Tc 0.2071 0.7929 0.4611  2 Si 2.45-2.49, 3 Tc 2.53-2.57
Tc 0.4078 0.5922 0.6464  1 Tc 2.35, 4 Si 2.42-2.53
Tc 0.4078 0.5922 0.8536  1 Tc 2.35, 4 Si 2.42-2.53
Tc 0.5922 0.4078 0.1464  1 Tc 2.35, 4 Si 2.42-2.53
Tc 0.5922 0.4078 0.3536  1 Tc 2.35, 4 Si 2.42-2.53
Tc 0.7929 0.2071 0.5389  2 Si 2.45-2.49, 3 Tc 2.53-2.57
Tc 0.7929 0.2071 0.9611  2 Si 2.45-2.49, 3 Tc 2.53-2.57

Results
- SG = No. 63
- formation energy from raw total energies (meV/atom) = -337
- crystal system = orthorhombic



No. 5
Entry from Alexandria via LeMat-Bulk: Ba2Ca4Ni after structural relaxation (PBE).

a = 11.3567 Å, b = 11.3567 Å, c = 11.3567 Å
α = 151.80°, β = 151.80°, γ = 40.31°
With the nearest neighbours (Å) after each atom.
Positions (direct):
Ba 0.1806 0.1806 0.0000  5 Ca 4.09-4.14
Ba 0.8194 0.8194 0.0000  5 Ca 4.09-4.14
Ca 0.0000 0.5000 0.5000  2 Ni 2.77
Ca 0.3748 0.3748 0.0000  1 Ni 2.67
Ca 0.5000 0.0000 0.5000  2 Ni 2.77
Ca 0.6252 0.6252 0.0000  1 Ni 2.67
Ni 0.5000 0.5000 0.0000  6 Ca 2.67-2.77

Results
- SG = No. 139
- crystal system = tetragonal
- calculated formation energy (eV per atom) = 0.0338



No. 6
Entry from Alexandria via LeMat-Bulk: SrHgRu2 after structural relaxation (PBE).

a = 5.2520 Å, b = 5.2520 Å, c = 5.2520 Å
α = 132.73°, β = 119.60°, γ = 80.07°
With the nearest neighbours (Å) after each atom.
Positions (direct):
Sr 0.0000 0.0000 0.0000  8 Ru 3.09-3.42, 4 Hg 3.13-3.15
Hg 0.7091 0.2091 0.5000  5 Ru 3.04-3.28, 4 Sr 3.13-3.15
Ru 0.3010 0.8010 0.5000  2 Ru 2.37
Ru 0.4372 0.4372 0.0000  2 Ru 2.37

Results
- SG = No. 44
- crystal system = orthorhombic
- calculated formation energy (eV per atom) = 0.4638



No. 7
Entry from Alexandria via LeMat-Bulk: RbCu2SnTe4 after structural relaxation (PBE).

a = 7.3609 Å, b = 7.3609 Å, c = 7.3609 Å
α = 122.50°, β = 103.59°, γ = 103.17°
With the nearest neighbours (Å) after each atom.
Positions (direct):
Rb 0.0000 0.0000 0.0000  8 Te 3.78-3.85
Cu 0.3643 0.8643 0.5000  2 Te 2.48, 1 Cu 2.48
Cu 0.6357 0.1357 0.5000  2 Te 2.48, 1 Cu 2.48
Sn 0.5000 0.5000 0.0000  4 Te 2.80
Te 0.1550 0.0944 0.5819  1 Cu 2.48
Te 0.4875 0.9056 0.0606  1 Cu 2.48
Te 0.5125 0.5730 0.4181  1 Cu 2.48
Te 0.8450 0.4270 0.9394  1 Cu 2.48

Results
- SG = No. 23
- formation energy from raw total energies (meV/atom) = -197
- crystal system = orthorhombic



No. 8
Entry from Alexandria via LeMat-Bulk: Pm3DyY3 after structural relaxation (PBE).

a = 9.6723 Å, b = 9.6723 Å, c = 5.7700 Å
α = 90.00°, β = 90.00°, γ = 120.00°
With the nearest neighbours (Å) after each atom.
Positions (direct):
Pm 0.0498 0.8087 0.2500  5 Y 3.57-3.68, 6 Pm 3.59-3.69, 1 Dy 3.63
Pm 0.1913 0.2412 0.2500  5 Y 3.57-3.68, 6 Pm 3.59-3.69, 1 Dy 3.63
Pm 0.2412 0.0498 0.7500  5 Y 3.57-3.68, 6 Pm 3.59-3.69, 1 Dy 3.63
Pm 0.7588 0.9502 0.2500  5 Y 3.57-3.68, 6 Pm 3.59-3.69, 1 Dy 3.63
Pm 0.8087 0.7588 0.7500  5 Y 3.57-3.68, 6 Pm 3.59-3.69, 1 Dy 3.63
Pm 0.9502 0.1913 0.7500  5 Y 3.57-3.68, 6 Pm 3.59-3.69, 1 Dy 3.63
Dy 0.3333 0.6667 0.2500  9 Y 3.57-3.65, 3 Pm 3.63
Dy 0.6667 0.3333 0.7500  9 Y 3.57-3.65, 3 Pm 3.63
Y 0.0952 0.6184 0.7500  5 Pm 3.57-3.68, 4 Y 3.57-3.65, 3 Dy 3.57-3.65
Y 0.3816 0.4768 0.7500  5 Pm 3.57-3.68, 4 Y 3.57-3.65, 3 Dy 3.57-3.65
Y 0.4768 0.0952 0.2500  5 Pm 3.57-3.68, 4 Y 3.57-3.65, 3 Dy 3.57-3.65
Y 0.5232 0.9048 0.7500  5 Pm 3.57-3.68, 4 Y 3.57-3.65, 3 Dy 3.57-3.65
Y 0.6184 0.5232 0.2500  5 Pm 3.57-3.68, 4 Y 3.57-3.65, 3 Dy 3.57-3.65
Y 0.9048 0.3816 0.2500  5 Pm 3.57-3.68, 4 Y 3.57-3.65, 3 Dy 3.57-3.65

Results
- SG = No. 176
- polymorph energy (0 for the lowest one) (eV/f.u.) = 0.00
- crystal system = hexagonal
- calculated formation energy (eV per atom) = 0.0160



No. 9
Entry from Alexandria via LeMat-Bulk: La6CdHg2 after structural relaxation (PBE).

a = 5.6440 Å, b = 5.6440 Å, c = 10.5497 Å
α = 90.00°, β = 90.00°, γ = 120.00°
With the nearest neighbours (Å) after each atom.
Positions (direct):
La 0.0000 0.0000 0.1751  1 Cd 3.43, 3 Hg 3.52, 7 La 3.70-3.78
La 0.0000 0.0000 0.8249  1 Cd 3.43, 3 Hg 3.52, 7 La 3.70-3.78
La 0.3333 0.6667 0.0058  1 Hg 3.25, 3 La 3.26
La 0.3333 0.6667 0.3810  4 Hg 3.34-3.36, 3 Cd 3.49
La 0.6667 0.3333 0.6190  4 Hg 3.34-3.36, 3 Cd 3.49
La 0.6667 0.3333 0.9942  1 Hg 3.25, 3 La 3.26
Cd 0.0000 0.0000 0.5000  8 La 3.43-3.49
Hg 0.3333 0.6667 0.6977  8 La 3.25-3.52
Hg 0.6667 0.3333 0.3023  8 La 3.25-3.52

Results
- SG = No. 164
- polymorph energy (0 for the lowest one) (eV/f.u.) = 0.00
- crystal system = trigonal
- calculated formation energy (eV per atom) = -0.2678



No. 10
Entry from Alexandria via LeMat-Bulk: NpGa3NiPt after structural relaxation (PBE).

a = 6.8587 Å, b = 6.8587 Å, c = 5.7321 Å
α = 90.00°, β = 90.00°, γ = 128.20°
With the nearest neighbours (Å) after each atom.
Positions (direct):
Np 0.2246 0.7754 0.7500  1 Ni 2.53
Np 0.7754 0.2246 0.2500  1 Ni 2.53
Ga 0.2101 0.2101 0.0000  2 Ni 2.41, 1 Ga 2.52
Ga 0.2101 0.2101 0.5000  2 Ni 2.41, 1 Ga 2.52
Ga 0.3637 0.6363 0.2500  1 Pt 2.51, 1 Ni 2.55, 4 Ga 2.81
Ga 0.6363 0.3637 0.7500  1 Pt 2.51, 1 Ni 2.55, 4 Ga 2.81
Ga 0.7899 0.7899 0.0000  2 Ni 2.41, 1 Ga 2.52
Ga 0.7899 0.7899 0.5000  2 Ni 2.41, 1 Ga 2.52
Ni 0.4298 0.5702 0.7500  5 Ga 2.41-2.55, 1 Np 2.53
Ni 0.5702 0.4298 0.2500  5 Ga 2.41-2.55, 1 Np 2.53
Pt 0.1599 0.8401 0.2500  5 Ga 2.51-2.74
Pt 0.8401 0.1599 0.7500  5 Ga 2.51-2.74

Results
- SG = No. 63
- crystal system = orthorhombic
- calculated formation energy (eV per atom) = -0.2318